This record from Alexandria via LeMat-Bulk describes BeCr2GaO6 after structural relaxation. The functional is GGA+U.

a = 4.9299 Å, b = 4.9299 Å, c = 13.8451 Å
α = 90.00°, β = 90.00°, γ = 120.00°
Space group R3 (No. 146, hexagonal axes)
Symmetry-distinct sites (fractional):
Be1 0.0000 0.0000 0.0000 (multiplicity 3)
Cr1 0.0000 0.0000 0.2431 (multiplicity 3)
Cr2 0.0000 0.0000 0.7496 (multiplicity 3)
Ga1 0.0000 0.0000 0.4447 (multiplicity 3)
O1 0.0074 0.6556 0.5001 (multiplicity 9)
O2 0.0231 0.3376 0.0060 (multiplicity 9)

Values from the calculation:
Total DFT energy (no corrections) = -210.3 eV per cell